#A
Below is a relaxed FeIr3S crystal, with properties calculated at the PBE-GGA level.

Cell lengths 4.376, 4.376, 4.376 Å; angles 90.00, 90.00, 90.00 degrees
Space group Pm-3m (No. 221)
Asymmetric unit:
Fe 0.000 0.000 0.000 (multiplicity 1)
Ir 0.000 0.500 0.500 (multiplicity 3)
S 0.500 0.500 0.500 (multiplicity 1)


#B
Below is a relaxed FeIr3S crystal, with properties calculated at the PBE-GGA level.

Cell lengths 4.464, 4.464, 4.464 Å; angles 90.00, 90.00, 90.00 degrees
Space group Pm-3m (No. 221)
Asymmetric unit:
Fe 0.000 0.000 0.000 (multiplicity 1)
Ir 0.000 0.000 0.500 (multiplicity 3)
S 0.500 0.500 0.500 (multiplicity 1)


It turns out #A is the most stable, with the second structure 81.8 kJ/mol of atoms higher.


#A
Below is a relaxed Sc2FeIr2 crystal, with properties calculated at the PBE-GGA level.

Cell lengths 7.535, 7.535, 2.993 Å; angles 90.00, 90.00, 90.00 degrees
Space group P4/mbm (No. 127)
Asymmetric unit:
Sc 0.148 0.352 0.000 (multiplicity 4)
Fe 0.000 0.000 0.000 (multiplicity 2)
Ir 0.154 0.654 0.500 (multiplicity 4)


#B
Below is a relaxed Sc2FeIr2 crystal, with properties calculated at the PBE-GGA level.

Cell lengths 6.511, 6.511, 4.117 Å; angles 90.00, 90.00, 90.00 degrees
Space group P4/mbm (No. 127)
Asymmetric unit:
Sc 0.175 0.325 0.000 (multiplicity 4)
Fe 0.000 0.000 0.500 (multiplicity 2)
Ir 0.140 0.640 0.500 (multiplicity 4)


#C
Below is a relaxed Sc2FeIr2 crystal, with properties calculated at the PBE-GGA level.

Cell lengths 3.522, 3.522, 14.972 Å; angles 90.00, 90.00, 90.00 degrees
Space group I4/mmm (No. 139)
Asymmetric unit:
Sc 0.000 0.000 0.099 (multiplicity 4)
Fe 0.000 0.000 0.500 (multiplicity 2)
Ir 0.000 0.500 0.250 (multiplicity 4)


It turns out #B is the most stable, with the second structure 47.6 kJ/mol of atoms higher.


#A
Below is a relaxed ScFe3Ir crystal, with properties calculated at the PBE-GGA level.

Cell lengths 4.629, 4.629, 4.629 Å; angles 90.00, 90.00, 90.00 degrees
Space group Pm-3m (No. 221)
Asymmetric unit:
Sc 0.000 0.000 0.000 (multiplicity 1)
Fe 0.000 0.500 0.500 (multiplicity 3)
Ir 0.500 0.500 0.500 (multiplicity 1)


#B
Below is a relaxed ScFe3Ir crystal, with properties calculated at the PBE-GGA level.

Cell lengths 4.187, 4.187, 4.187 Å; angles 90.00, 90.00, 90.00 degrees
Space group Pm-3m (No. 221)
Asymmetric unit:
Sc 0.000 0.000 0.000 (multiplicity 1)
Fe 0.000 0.000 0.500 (multiplicity 3)
Ir 0.500 0.500 0.500 (multiplicity 1)


It turns out #A is the most stable, with the second structure 95.4 kJ/mol of atoms higher.


#A
Below is a relaxed SrFeIr2 crystal, with properties calculated at the PBE-GGA level.

Cell lengths 2.8656, 2.8656, 28.9259 Å; angles 90.00, 90.00, 120.00 degrees
Space group R3m (No. 160, hexagonal axes)
Asymmetric unit:
Sr 0.0000 0.0000 0.0000 (multiplicity 3)
Fe 0.0000 0.0000 0.2364 (multiplicity 3)
Ir 0.0000 0.0000 0.5016 (multiplicity 3)
Ir 0.0000 0.0000 0.7588 (multiplicity 3)


#B
Below is a relaxed SrFeIr2 crystal, with properties calculated at the PBE-GGA level.

Cell lengths 4.245, 4.245, 3.985 Å; angles 90.00, 90.00, 90.00 degrees
Space group P4/mmm (No. 123)
Asymmetric unit:
Sr 0.000 0.000 0.000 (multiplicity 1)
Fe 0.500 0.500 0.000 (multiplicity 1)
Ir 0.000 0.500 0.500 (multiplicity 2)


#C
Below is a relaxed SrFeIr2 crystal, with properties calculated at the PBE-GGA level.

Cell lengths 6.568, 6.568, 6.568 Å; angles 90.00, 90.00, 90.00 degrees
Space group F-43m (No. 216)
Asymmetric unit:
Sr 0.000 0.000 0.000 (multiplicity 4)
Fe 0.250 0.250 0.750 (multiplicity 4)
Ir 0.000 0.000 0.500 (multiplicity 4)
Ir 0.250 0.250 0.250 (multiplicity 4)


It turns out #B is the most stable, with the second structure 3.9 kJ/mol of atoms higher.


#A
Below is a relaxed SrFeIr2 crystal, with properties calculated at the PBE-GGA level.

Cell lengths 4.685, 4.685, 3.277 Å; angles 90.00, 90.00, 90.00 degrees
Space group P4/mmm (No. 123)
Asymmetric unit:
Sr 0.000 0.000 0.000 (multiplicity 1)
Fe 0.500 0.500 0.000 (multiplicity 1)
Ir 0.000 0.500 0.500 (multiplicity 2)


#B
Below is a relaxed SrFeIr2 crystal, with properties calculated at the PBE-GGA level.

Cell lengths 3.036, 3.036, 7.677 Å; angles 90.00, 90.00, 90.00 degrees
Space group P4/mmm (No. 123)
Asymmetric unit:
Sr 0.000 0.000 0.000 (multiplicity 1)
Fe 0.000 0.000 0.500 (multiplicity 1)
Ir 0.500 0.500 0.311 (multiplicity 2)


It turns out #B is the most stable, with the second structure 36.8 kJ/mol of atoms higher.


#A
Below is a relaxed SrFeIr2 crystal, with properties calculated at the PBE-GGA level.

Cell lengths 2.884, 4.936, 9.752 Å; angles 90.00, 90.00, 90.00 degrees
Space group Immm (No. 71)
Asymmetric unit:
Sr 0.000 0.000 0.000 (multiplicity 2)
Fe 0.000 0.000 0.500 (multiplicity 2)
Ir 0.000 0.500 0.217 (multiplicity 4)


#B
Below is a relaxed SrFeIr2 crystal, with properties calculated at the PBE-GGA level.

Cell lengths 2.956, 4.805, 4.875 Å; angles 90.00, 90.00, 90.00 degrees
Space group Pmmm (No. 47)
Asymmetric unit:
Sr 0.000 0.000 0.000 (multiplicity 1)
Fe 0.500 0.000 0.500 (multiplicity 1)
Ir 0.000 0.500 0.500 (multiplicity 1)
Ir 0.500 0.500 0.000 (multiplicity 1)


#C
Below is a relaxed SrFeIr2 crystal, with properties calculated at the PBE-GGA level.

Cell lengths 4.3616, 4.3616, 16.1128 Å; angles 90.00, 90.00, 120.00 degrees
Space group R3m (No. 160, hexagonal axes)
Asymmetric unit:
Sr 0.0000 0.0000 0.0000 (multiplicity 3)
Fe 0.0000 0.0000 0.1882 (multiplicity 3)
Ir 0.0000 0.0000 0.4910 (multiplicity 3)
Ir 0.0000 0.0000 0.8106 (multiplicity 3)


It turns out #C is the most stable, with the second structure 41.3 kJ/mol of atoms higher.


#A
Below is a relaxed SrFeIr2 crystal, with properties calculated at the PBE-GGA level.

Cell lengths 3.0062, 3.0062, 26.8597 Å; angles 90.00, 90.00, 120.00 degrees
Space group R-3m (No. 166, hexagonal axes)
Asymmetric unit:
Sr 0.0000 0.0000 0.0000 (multiplicity 3)
Fe 0.0000 0.0000 0.5000 (multiplicity 3)
Ir 0.0000 0.0000 0.2370 (multiplicity 6)


#B
Below is a relaxed SrFeIr2 crystal, with properties calculated at the PBE-GGA level.

Cell lengths 2.938, 4.964, 10.168 Å; angles 90.00, 90.00, 90.00 degrees
Space group Imm2 (No. 44)
Asymmetric unit:
Sr 0.000 0.000 0.000 (multiplicity 2)
Fe 0.000 0.500 0.792 (multiplicity 2)
Ir 0.000 0.000 0.496 (multiplicity 2)
Ir 0.000 0.500 0.215 (multiplicity 2)


It turns out #B is the most stable, with the second structure 9.5 kJ/mol of atoms higher.


#A
Below is a relaxed SrFeIr2 crystal, with properties calculated at the PBE-GGA level.

Cell lengths 4.312, 2.919, 11.943 Å; angles 90.00, 90.00, 90.00 degrees
Space group Amm2 (No. 38)
Asymmetric unit:
Sr 0.000 0.000 0.000 (multiplicity 2)
Fe 0.500 0.000 0.651 (multiplicity 2)
Ir 0.000 0.000 0.751 (multiplicity 2)
Ir 0.500 0.000 0.323 (multiplicity 2)


#B
Below is a relaxed SrFeIr2 crystal, with properties calculated at the PBE-GGA level.

Cell lengths 3.183, 3.183, 7.383 Å; angles 90.00, 90.00, 90.00 degrees
Space group P4mm (No. 99)
Asymmetric unit:
Sr 0.000 0.000 0.000 (multiplicity 1)
Fe 0.500 0.500 0.336 (multiplicity 1)
Ir 0.000 0.000 0.481 (multiplicity 1)
Ir 0.500 0.500 0.695 (multiplicity 1)


It turns out #A is the most stable, with the second structure 3.7 kJ/mol of atoms higher.


#A
Below is a relaxed SrFeIr2 crystal, with properties calculated at the PBE-GGA level.

Cell lengths 4.986, 4.986, 15.445 Å; angles 90.00, 90.00, 90.00 degrees
Space group I-42d (No. 122)
Asymmetric unit:
Sr 0.000 0.000 0.000 (multiplicity 4)
Fe 0.000 0.000 0.500 (multiplicity 4)
Ir 0.053 0.750 0.625 (multiplicity 8)


#B
Below is a relaxed SrFeIr2 crystal, with properties calculated at the PBE-GGA level.

Cell lengths 6.590, 6.590, 6.590 Å; angles 90.00, 90.00, 90.00 degrees
Space group Fm-3m (No. 225)
Asymmetric unit:
Sr 0.000 0.000 0.000 (multiplicity 4)
Fe 0.000 0.000 0.500 (multiplicity 4)
Ir 0.250 0.250 0.250 (multiplicity 8)


It turns out #A is the most stable, with the second structure 12.9 kJ/mol of atoms higher.


#A
Below is a relaxed SrFeIr crystal, with properties calculated at the PBE-GGA level.

Cell lengths 4.363, 4.363, 7.086 Å; angles 90.00, 90.00, 90.00 degrees
Space group P4/nmm (No. 129, origin choice 2)
Asymmetric unit:
Sr 0.250 0.250 0.164 (multiplicity 2)
Fe 0.250 0.750 0.500 (multiplicity 2)
Ir 0.250 0.250 0.673 (multiplicity 2)


#B
Below is a relaxed SrFeIr crystal, with properties calculated at the PBE-GGA level.

Cell lengths 6.558, 6.558, 6.558 Å; angles 90.00, 90.00, 90.00 degrees
Space group F-43m (No. 216)
Asymmetric unit:
Sr 0.000 0.000 0.000 (multiplicity 4)
Fe 0.000 0.000 0.500 (multiplicity 4)
Ir 0.250 0.250 0.750 (multiplicity 4)


It turns out #A is the most stable, with the second structure 57.4 kJ/mol of atoms higher.


#A
Below is a relaxed SrFeIr crystal, with properties calculated at the PBE-GGA level.

Cell lengths 3.411, 3.411, 10.974 Å; angles 90.00, 90.00, 90.00 degrees
Space group I4mm (No. 107)
Asymmetric unit:
Sr 0.000 0.000 0.000 (multiplicity 2)
Fe 0.000 0.000 0.726 (multiplicity 2)
Ir 0.000 0.000 0.282 (multiplicity 2)


#B
Below is a relaxed SrFeIr crystal, with properties calculated at the PBE-GGA level.

Cell lengths 4.1078, 4.1078, 4.7306 Å; angles 90.00, 90.00, 120.00 degrees
Space group P-6m2 (No. 187)
Asymmetric unit:
Sr 0.0000 0.0000 0.0000 (multiplicity 1)
Fe 0.6667 0.3333 0.5000 (multiplicity 1)
Ir 0.3333 0.6667 0.5000 (multiplicity 1)


#C
Below is a relaxed SrFeIr crystal, with properties calculated at the PBE-GGA level.

Cell lengths 6.640, 6.640, 6.640 Å; angles 90.00, 90.00, 90.00 degrees
Space group F-43m (No. 216)
Asymmetric unit:
Sr 0.000 0.000 0.000 (multiplicity 4)
Fe 0.250 0.250 0.250 (multiplicity 4)
Ir 0.250 0.250 0.750 (multiplicity 4)


It turns out #B is the most stable, with the second structure 11.1 kJ/mol of atoms higher.


#A
Below is a relaxed TaFeIr3 crystal, with properties calculated at the PBE-GGA level.

Cell lengths 4.434, 4.434, 4.434 Å; angles 90.00, 90.00, 90.00 degrees
Space group Pm-3m (No. 221)
Asymmetric unit:
Ta 0.000 0.000 0.000 (multiplicity 1)
Fe 0.500 0.500 0.500 (multiplicity 1)
Ir 0.000 0.500 0.500 (multiplicity 3)


#B
Below is a relaxed TaFeIr3 crystal, with properties calculated at the PBE-GGA level.

Cell lengths 4.743, 4.743, 4.743 Å; angles 90.00, 90.00, 90.00 degrees
Space group Pm-3m (No. 221)
Asymmetric unit:
Ta 0.000 0.000 0.000 (multiplicity 1)
Fe 0.500 0.500 0.500 (multiplicity 1)
Ir 0.000 0.000 0.500 (multiplicity 3)


It turns out #A is the most stable, with the second structure 80.1 kJ/mol of atoms higher.